Here is a relaxed structure of Hf3CuSe6 from Alexandria. Energies are from PBE-GGA.

Cell lengths 7.766, 7.766, 7.766 Å; angles 89.29, 89.29, 89.29 degrees
Element x y z (fractional)
Hf 0.078 0.228 0.584
Hf 0.228 0.584 0.078
Hf 0.416 0.922 0.772
Hf 0.584 0.078 0.228
Hf 0.772 0.416 0.922
Hf 0.922 0.772 0.416
Cu 0.000 0.000 0.000
Cu 0.500 0.500 0.500
Se 0.082 0.893 0.691
Se 0.107 0.309 0.918
Se 0.182 0.535 0.409
Se 0.309 0.918 0.107
Se 0.409 0.182 0.535
Se 0.465 0.591 0.818
Se 0.535 0.409 0.182
Se 0.591 0.818 0.465
Se 0.691 0.082 0.893
Se 0.818 0.465 0.591
Se 0.893 0.691 0.082
Se 0.918 0.107 0.309

Output
Crystal system: trigonal
Energy relative to the elements, uncorrected in eV/atom: -0.94

Here is a relaxed structure of Nd3PaTl4Se8 from Alexandria. Energies are from PBE-GGA.

Cell lengths 9.246, 9.246, 9.246 Å; angles 55.14, 55.14, 55.14 degrees
Element x y z (fractional)
Nd 0.000 0.500 0.500
Nd 0.500 0.000 0.500
Nd 0.500 0.500 0.000
Pa 0.000 0.000 0.000
Tl 0.000 0.000 0.500
Tl 0.000 0.500 0.000
Tl 0.500 0.000 0.000
Tl 0.500 0.500 0.500
Se 0.232 0.232 0.747
Se 0.232 0.747 0.232
Se 0.253 0.768 0.768
Se 0.263 0.263 0.263
Se 0.737 0.737 0.737
Se 0.747 0.232 0.232
Se 0.768 0.253 0.768
Se 0.768 0.768 0.253

Output
Crystal system: trigonal
Energy relative to the elements, uncorrected in eV/atom: -1.26

Here is a relaxed structure of HgSBr3 from Alexandria. Energies are from PBE-GGA.

Cell lengths 5.199, 5.199, 5.199 Å; angles 90.00, 90.00, 90.00 degrees
Element x y z (fractional)
Hg 0.000 0.000 0.000
S 0.500 0.500 0.500
Br 0.000 0.500 0.500
Br 0.500 0.000 0.500
Br 0.500 0.500 0.000

Output
Crystal system: cubic
Offset from the most stable computed form in meV/atom: 0
Energy relative to the elements, uncorrected in eV/atom: 0.15

Here is a relaxed structure of YTl3Tc from Alexandria. Energies are from PBE-GGA.

Cell lengths 5.268, 5.268, 5.268 Å; angles 90.00, 90.00, 90.00 degrees
Element x y z (fractional)
Y 0.000 0.000 0.000
Tl 0.000 0.500 0.500
Tl 0.500 0.000 0.500
Tl 0.500 0.500 0.000
Tc 0.500 0.500 0.500

Output
Crystal system: cubic
Offset from the most stable computed form in meV/atom: 0

Calculated D(E_F), 2.034 9.135 1.840 4.594 states/eV/f.u. (same order as the records).